A plane-wave DFT calculation with PBE was carried out for a relaxed Mg2Nb2TeO8 crystal.

Values from the calculation:
ΔE_f (raw)   -2.2473 eV per atom
E   -7.335 eV per atom

abc: 5.2091 6.1505 11.4258
angles: 101.41 96.72 89.73
Last column: nearest neighbours and their distance in Å.
Sites, in units of the cell vectors:
O (0.6373, 0.1367, 0.5995)  1 Nb 1.96, 3 Mg 2.02-2.18
O (0.4732, 0.4986, 0.8485)  1 Nb 1.85
O (0.9951, 0.2427, 0.1889)  2 Nb 1.92-2.08
O (0.5268, 0.5014, 0.1515)  1 Nb 1.85
O (0.1445, 0.4318, 0.6048)  1 Nb 1.98, 3 Mg 2.00-2.14
O (0.5028, 0.9503, 0.8082)  2 Nb 1.92-2.03
O (0.3627, 0.8633, 0.4005)  1 Nb 1.96, 3 Mg 2.02-2.18
O (0.0049, 0.7573, 0.8111)  2 Nb 1.92-2.08
O (0.5788, 0.6769, 0.6118)  2 Mg 2.08-2.25, 2 Nb 2.16-2.21
O (0.0257, 0.7756, 0.1749)  1 Nb 1.93, 1 Te 1.96
O (0.4972, 0.0497, 0.1918)  2 Nb 1.92-2.03
O (0.9743, 0.2244, 0.8251)  1 Nb 1.93, 1 Te 1.96
O (0.9370, 0.1185, 0.3994)  2 Mg 2.03-2.20, 1 Nb 2.08
O (0.4212, 0.3231, 0.3882)  2 Mg 2.08-2.25, 2 Nb 2.16-2.21
O (0.0630, 0.8815, 0.6006)  2 Mg 2.03-2.20, 1 Nb 2.08
O (0.8555, 0.5682, 0.3952)  1 Nb 1.98, 3 Mg 2.00-2.14
Te (0.1770, 0.3388, 0.9811)  1 O 1.96
Te (0.8230, 0.6612, 0.0189)  1 O 1.96
Mg (0.2367, 0.6036, 0.4692)  6 O 2.06-2.30
Mg (0.7633, 0.3964, 0.5308)  6 O 2.06-2.30
Mg (0.2541, 0.1213, 0.5450)  5 O 2.00-2.20
Mg (0.7459, 0.8787, 0.4550)  5 O 2.00-2.20
Nb (0.3115, 0.6579, 0.7402)  4 O 1.85-2.03
Nb (0.2078, 0.0269, 0.2794)  5 O 1.92-2.08
Nb (0.7922, 0.9731, 0.7206)  5 O 1.92-2.08
Nb (0.6885, 0.3421, 0.2598)  4 O 1.85-2.03